A relaxed ScFe2MoS crystal. Source: the Alexandria database, functional PBE.

Calculated values
As for the volume: 15.54 Å³ per atom. The energy relative to the elements, uncorrected is -5 meV per atom. The space group is No. 123. The uncorrected energy is -7.648 eV per atom.

```
ScFe2MoS
1.0
4.160 0.000 0.000
0.000 4.160 0.000
0.000 0.000 4.490
Sc Fe Mo S
1 2 1 1
Direct
0.000 0.000 0.000
0.000 0.500 0.500
0.500 0.000 0.500
0.500 0.500 0.000
0.500 0.500 0.500
```